Record 1
CdAsH2 | PBE | relaxed

Geometry as CIF:
```
data_CdAsH2
_cell_length_a 5.8126
_cell_length_b 5.8126
_cell_length_c 5.8126
_cell_angle_alpha 90.00
_cell_angle_beta 90.00
_cell_angle_gamma 90.00
_space_group_name_H-M_alt 'F m -3 m'
_space_group_IT_number 225
_space_group_name_Hall '-F 4 2 3'
loop_
_atom_site_label
_atom_site_fract_x
_atom_site_fract_y
_atom_site_fract_z
Cd1 0.0000 0.0000 0.0000
As1 0.0000 0.0000 0.5000
H1 0.2500 0.2500 0.2500
```

Calculated values
ρ, Mg/m³: 6.4
ΔE to the lowest computed polymorph, eV/f.u.: 2.013

=====

Record 2
Cd3AsH | PBE | relaxed

Geometry as CIF:
```
data_Cd3AsH
_cell_length_a 5.3961
_cell_length_b 5.3961
_cell_length_c 5.3961
_cell_angle_alpha 90.00
_cell_angle_beta 90.00
_cell_angle_gamma 90.00
_space_group_name_H-M_alt 'P m -3 m'
_space_group_IT_number 221
_space_group_name_Hall '-P 4 2 3'
loop_
_atom_site_label
_atom_site_fract_x
_atom_site_fract_y
_atom_site_fract_z
Cd1 0.0000 0.0000 0.5000
As1 0.0000 0.0000 0.0000
H1 0.5000 0.5000 0.5000
```

Calculated values
ρ, Mg/m³: 4.4
ΔE to the lowest computed polymorph, eV/f.u.: 2.525

=====

Record 3
Cd3AsH | PBE | relaxed

Geometry as CIF:
```
data_Cd3AsH
_cell_length_a 4.5414
_cell_length_b 4.5414
_cell_length_c 4.5414
_cell_angle_alpha 90.00
_cell_angle_beta 90.00
_cell_angle_gamma 90.00
_space_group_name_H-M_alt 'P m -3 m'
_space_group_IT_number 221
_space_group_name_Hall '-P 4 2 3'
loop_
_atom_site_label
_atom_site_fract_x
_atom_site_fract_y
_atom_site_fract_z
Cd1 0.0000 0.0000 0.5000
As1 0.5000 0.5000 0.5000
H1 0.0000 0.0000 0.0000
```

Calculated values
ρ, Mg/m³: 7.3
ΔE to the lowest computed polymorph, eV/f.u.: 1.091

=====

Record 4
Cd2AsHI | PBE | relaxed

Geometry as CIF:
```
data_Cd2AsHI
_cell_length_a 5.4437
_cell_length_b 5.4437
_cell_length_c 3.9387
_cell_angle_alpha 90.00
_cell_angle_beta 90.00
_cell_angle_gamma 90.00
_space_group_name_H-M_alt 'P 4/m m m'
_space_group_IT_number 123
_space_group_name_Hall '-P 4 2'
loop_
_atom_site_label
_atom_site_fract_x
_atom_site_fract_y
_atom_site_fract_z
Cd1 0.0000 0.5000 0.0000
As1 0.0000 0.0000 0.0000
H1 0.0000 0.0000 0.5000
I1 0.5000 0.5000 0.5000
```

Calculated values
ρ, Mg/m³: 6.1
Final energy, Ry per atom: -0.167

=====

Record 5
CdAsHI2 | PBE | relaxed

Geometry as CIF:
```
data_CdAsHI2
_cell_length_a 5.8212
_cell_length_b 5.8212
_cell_length_c 3.6948
_cell_angle_alpha 90.00
_cell_angle_beta 90.00
_cell_angle_gamma 90.00
_space_group_name_H-M_alt 'P 4/m m m'
_space_group_IT_number 123
_space_group_name_Hall '-P 4 2'
loop_
_atom_site_label
_atom_site_fract_x
_atom_site_fract_y
_atom_site_fract_z
Cd1 0.0000 0.0000 0.0000
As1 0.5000 0.5000 0.0000
H1 0.0000 0.0000 0.5000
I1 0.0000 0.5000 0.5000
```

Calculated values
ρ, Mg/m³: 5.9
Final energy, Ry per atom: -0.139

=====

Record 6
CdIn2AsH | PBE | relaxed

Geometry as CIF:
```
data_CdIn2AsH
_cell_length_a 4.8948
_cell_length_b 4.8948
_cell_length_c 4.2970
_cell_angle_alpha 90.00
_cell_angle_beta 90.00
_cell_angle_gamma 90.00
_space_group_name_H-M_alt 'P 4/m m m'
_space_group_IT_number 123
_space_group_name_Hall '-P 4 2'
loop_
_atom_site_label
_atom_site_fract_x
_atom_site_fract_y
_atom_site_fract_z
Cd1 0.0000 0.0000 0.0000
In1 0.0000 0.5000 0.5000
As1 0.5000 0.5000 0.0000
H1 0.0000 0.0000 0.5000
```

Calculated values
ρ, Mg/m³: 6.7
Final energy, Ry per atom: -0.192

=====

Record 7
Li2CdAsH | PBE | relaxed

Geometry as CIF:
```
data_Li2CdAsH
_cell_length_a 4.0701
_cell_length_b 4.0701
_cell_length_c 4.3389
_cell_angle_alpha 90.00
_cell_angle_beta 90.00
_cell_angle_gamma 90.00
_space_group_name_H-M_alt 'P 4/m m m'
_space_group_IT_number 123
_space_group_name_Hall '-P 4 2'
loop_
_atom_site_label
_atom_site_fract_x
_atom_site_fract_y
_atom_site_fract_z
Li1 0.0000 0.5000 0.0000
Cd1 0.0000 0.0000 0.5000
As1 0.5000 0.5000 0.5000
H1 0.0000 0.0000 0.0000
```

Calculated values
ρ, Mg/m³: 4.7
Final energy, Ry per atom: -0.212

=====

Record 8
Na2CdAsH | PBE | relaxed

Geometry as CIF:
```
data_Na2CdAsH
_cell_length_a 6.1129
_cell_length_b 6.1129
_cell_length_c 4.8169
_cell_angle_alpha 90.00
_cell_angle_beta 90.00
_cell_angle_gamma 90.00
_space_group_name_H-M_alt 'P 4/m m m'
_space_group_IT_number 123
_space_group_name_Hall '-P 4 2'
loop_
_atom_site_label
_atom_site_fract_x
_atom_site_fract_y
_atom_site_fract_z
Na1 0.0000 0.5000 0.0000
Cd1 0.0000 0.0000 0.0000
As1 0.0000 0.0000 0.5000
H1 0.5000 0.5000 0.5000
```

Calculated values
ρ, Mg/m³: 2.2
ΔE to the lowest computed polymorph, eV/f.u.: 3.261

=====

Question: Among the records above, which one has the lowest ρ?
Answer: Na2CdAsH